First-principles (GGA-PBE) data for a relaxed LaTbPrSn crystal, as listed in Alexandria.

Lattice parameters (Å, degrees): 5.5989 5.5989 5.5989 60.00 60.00 60.00
Closest atoms and distances in Å follow each position.
Atoms (fractional coordinates):
Pr1 0.0000 0.0000 0.0000  4 Tb 3.43, 4 Sn 3.43
Tb1 0.7500 0.7500 0.7500  4 La 3.43, 4 Pr 3.43
Sn1 0.2500 0.2500 0.2500  4 Pr 3.43, 4 La 3.43
La1 0.5000 0.5000 0.5000  4 Tb 3.43, 4 Sn 3.43

As for the symmetry: F-43m (216). The total moment comes out at 0.00 Bohr magnetons per cell. The value obtained for the energy relative to the elements is -0.27 eV/atom.